First-principles (PBE with a Hubbard U) data for a relaxed LiGaCo2O4 crystal, as listed in Alexandria.

Output
total energy: -46.5 eV per cell
space-group type: Fmm2, No. 42
size of the total moment: 6.000 Bohr magnetons per cell

a = 4.2215 Å, b = 4.2215 Å, c = 5.2365 Å
α = 113.80°, β = 113.80°, γ = 89.93°
Site moments in Bohr magnetons follow the coordinates.
Fractional coordinates of all 8 atoms:
Li 0.4369 0.4369 0.0000  0.00
Ga 0.9417 0.9417 0.0000  0.00
Co 0.1869 0.6869 0.5000  2.74
Co 0.6869 0.1869 0.5000  2.74
O 0.9385 0.4367 0.0000  0.07
O 0.4367 0.9385 0.0000  0.07
O 0.1616 0.1616 0.4533  0.14
O 0.7082 0.7082 0.5467  0.14